# 1
10
Lattice="5.2895 -0.0227 0.0075 2.6253 4.5475 0.0006 2.6446 1.5057 4.6094" Properties=species:S:1:pos:R:3 comment="Fe2SnGeO6, optimized geometry, DFT PBE+U" m_tot_mub_per_atom=0.800 energy_ev_per_atom=-6.46 spacegroup="No. 1" dos_ef_per_ev_atom=0.006 pbc="T T T"
O 7.2850 3.0440 1.1419
O 3.7464 3.1086 3.5662
O 4.2798 4.7355 1.1737
O 5.9729 1.6353 3.5758
O 4.3060 1.3297 1.1721
O 6.1042 4.2490 3.5129
Ge 2.6465 1.5070 0.2541
Fe 5.2550 3.0055 1.9184
Fe 2.6364 1.5119 4.2563
Sn 7.9269 4.5170 2.5831



# 2
15
Lattice="5.5232 0.0000 0.0000 -2.7616 4.7832 0.0000 0.0000 0.0000 6.7697" Properties=species:S:1:pos:R:3 comment="Sr3FeGe2O9, optimized geometry, DFT PBE+U" m_tot_mub_per_atom=0.391 energy_ev_per_atom=-6.41 spacegroup="No. 164" dos_ef_per_ev_atom=0.434 pbc="T T T"
O 1.3808 2.3916 0.0000
O 0.0000 1.6362 2.2071
O 1.4170 0.8181 4.5626
O 1.3446 3.9651 2.2071
O 4.1061 0.8181 4.5626
O -1.3808 2.3916 0.0000
O 2.7616 3.1470 4.5626
O -1.3446 3.9651 2.2071
O 2.7616 0.0000 0.0000
Sr 2.7616 1.5944 2.2580
Sr 0.0000 3.1888 4.5117
Sr 0.0000 0.0000 0.0000
Ge 0.0000 3.1888 1.1423
Ge 2.7616 1.5944 5.6274
Fe 0.0000 0.0000 3.3849



# 3
18
Lattice="-1.6598 0.2622 4.7584 -3.2869 -0.5190 -3.7938 0.5946 -8.8431 0.6947" Properties=species:S:1:pos:R:3 comment="TaFeGeO6, optimized geometry, DFT PBE+U" m_tot_mub_per_atom=0.560 energy_ev_per_atom=-7.71 spacegroup="No. 163" dos_ef_per_ev_atom=0.000 pbc="T T T"
O -0.9166 -3.0936 3.3627
O -1.4721 -3.3452 0.6362
O -3.4355 -6.0063 -1.7035
O -3.5600 -3.3397 2.4926
O -1.6777 -8.0234 -1.8536
O -2.6744 -1.0766 3.5128
O -2.8800 -5.7548 1.0230
O -1.1933 -7.7756 0.8867
O -3.8128 -8.0254 -0.0518
O -0.5393 -1.0745 1.7110
O -3.1588 -1.3244 0.7726
O -0.7921 -5.7602 -0.8334
Ge -2.2986 -6.8910 -0.4221
Ge -2.0535 -2.2090 2.0813
Fe 0.0000 0.0000 0.0000
Fe 0.2973 -4.4216 0.3473
Ta -1.7562 -6.6306 2.4286
Ta -2.5959 -2.4694 -0.7694



# 4
18
Lattice="-4.3164 -1.7308 2.0375 4.4734 -1.5537 1.8310 -0.0014 6.9589 5.9085" Properties=species:S:1:pos:R:3 comment="FeGeTeO6, optimized geometry, DFT PBE+U" m_tot_mub_per_atom=0.454 energy_ev_per_atom=-6.00 spacegroup="No. 163" dos_ef_per_ev_atom=0.327 pbc="T T T"
O 0.1414 2.2807 6.2500
O 0.0143 1.3936 3.5270
O 2.8793 4.9992 6.3334
O 0.0612 -1.2003 3.2976
O -1.4974 0.2983 1.5322
O -2.7770 1.4058 3.5120
O 0.0945 4.8747 6.4794
O -1.3981 -0.1648 5.3622
O 2.9327 2.2685 6.2650
O 1.5538 3.8392 4.4148
O -2.7236 -1.3249 3.4437
O 1.6531 3.3761 8.2448
Te -1.3875 3.5474 6.4001
Te 1.5432 0.1270 3.3770
Ge 1.5425 3.6064 6.3312
Ge -1.3868 0.0679 3.4458
Fe 0.0000 0.0000 0.0000
Fe -0.0007 3.4795 2.9543